# 1
This record from Alexandria describes a geometry-optimized LaTbPrN3 structure. The functional is GGA-PBE.

Values from the calculation:
DFT total energy	-7.859	eV/atom
symmetry	P2_1/m (11)
V	17.3	Å³/atom
energy relative to the elements, uncorrected	-1.307	eV/atom

```
LaTbPrN3
1.0
3.635 0.000 0.000
0.000 6.234 0.342
0.000 -2.398 9.052
Tb N La Pr
2 6 2 2
Cartesian
0.909 -0.620 5.826
2.726 4.456 3.568
0.909 0.926 7.581
2.726 0.277 4.738
0.909 4.019 7.963
2.726 -0.183 1.432
2.726 2.910 1.814
0.909 3.558 4.656
2.726 2.373 6.512
0.909 1.462 2.882
0.909 4.692 0.685
2.726 -0.856 8.710
```

---

# 2
This record from Alexandria describes a geometry-optimized BaTbLu2 structure. The functional is GGA-PBE.

Values from the calculation:
energy of formation	1.03	eV/f.u.
DFT total energy	-3.641	eV/atom
symmetry	R-3m (166)
V	34.7	Å³/atom

```
BaTbLu2
1.0
3.555 0.000 0.000
1.777 3.079 0.000
1.777 1.026 12.699
Ba Lu Tb
1 2 1
Cartesian
0.000 0.000 0.000
1.777 1.026 9.125
5.332 3.079 3.574
3.555 2.052 6.350
```